The following is a SCAN calculation of a crystal of MnCuB2P relaxed with PBEsol, from Alexandria.

Results
Total DFT energy (no corrections) = -53.173 eV per cell
Formation enthalpy at 0 K = 1.108 eV/atom

abc: 3.8122 3.8122 4.3360
angles: 90.00 90.00 90.00
Last column: nearest neighbours and their distance in Å.
Sites, in units of the cell vectors:
1 B 0.0000 0.5000 0.0000  2 P 1.91
2 Cu 0.0000 0.0000 0.5000  2 P 2.17
3 Mn 0.5000 0.5000 0.5000  4 Cu 2.70, 8 B 2.89
4 B 0.5000 0.0000 0.0000  2 P 1.91
5 P 0.0000 0.0000 0.0000  4 B 1.91

The following is a SCAN calculation of a crystal of Mn2CuBS relaxed with PBEsol, from Alexandria.

Results
Total DFT energy (no corrections) = -66.741 eV per cell
Formation energy (no corrections) = 39.1 kJ/mol of atoms

abc: 3.9645 3.9645 4.0599
angles: 90.00 90.00 90.00
Last column: nearest neighbours and their distance in Å.
Sites, in units of the cell vectors:
1 Mn 0.5000 0.0000 0.0000  2 B 1.98
2 B 0.0000 0.0000 0.0000  4 Mn 1.98, 2 S 2.03
3 Mn 0.0000 0.5000 0.0000  2 B 1.98
4 S 0.0000 0.0000 0.5000  2 B 2.03
5 Cu 0.5000 0.5000 0.5000  4 S 2.80, 8 Mn 2.84

The following is a SCAN calculation of a crystal of CuBTeN2 relaxed with PBEsol, from Alexandria.

Results
Total DFT energy (no corrections) = -71.626 eV per cell
Formation energy (no corrections) = 131.9 kJ/mol of atoms

abc: 3.3282 3.3282 6.2591
angles: 90.00 90.00 90.00
Last column: nearest neighbours and their distance in Å.
Sites, in units of the cell vectors:
1 B 0.0000 0.0000 0.0000  4 N 1.66
2 Te 0.0000 0.0000 0.5000  4 Cu 2.35
3 N 0.5000 0.0000 0.0000  2 B 1.66
4 Cu 0.5000 0.5000 0.5000  4 Te 2.35
5 N 0.0000 0.5000 0.0000  2 B 1.66

The following is a SCAN calculation of a crystal of Na2CuBSO7 relaxed with PBEsol, from Alexandria.

Results
Total DFT energy (no corrections) = -210.680 eV per cell
Formation energy (no corrections) = -169.1 kJ/mol of atoms

abc: 4.9449 7.3262 8.6250
angles: 90.00 92.77 90.00
Last column: nearest neighbours and their distance in Å.
Sites, in units of the cell vectors:
1 O 0.6962 0.2500 0.0681  1 B 1.31
2 Na 0.7500 0.4939 0.2251  4 O 2.25-2.45
3 O 0.2067 0.4160 0.3252  1 S 1.46
4 O 0.4702 0.7500 0.2030  1 B 1.40
5 O 0.0289 0.7500 0.1590  1 B 1.40
6 B 0.2705 0.7500 0.0816  3 O 1.31-1.40
7 O 0.8598 0.7500 0.4340  1 S 1.50
8 O 0.1402 0.2500 0.5660  1 S 1.50
9 Cu 0.7864 0.2500 0.6488  4 O 1.84-1.93
10 Na 0.7500 0.0061 0.2251  4 O 2.25-2.45
11 B 0.7296 0.2500 0.9184  3 O 1.31-1.40
12 O 0.4217 0.7500 0.5459  1 S 1.53
13 O 0.7933 0.5840 0.6748  1 S 1.46
14 S 0.2743 0.2500 0.4133  4 O 1.46-1.53
15 O 0.3038 0.7500 0.9319  1 B 1.31
16 Na 0.2500 0.5061 0.7749  4 O 2.25-2.45
17 O 0.7933 0.9160 0.6748  1 S 1.46
18 O 0.5783 0.2500 0.4541  1 S 1.53
19 O 0.5298 0.2500 0.7970  1 B 1.40
20 O 0.2067 0.0840 0.3252  1 S 1.46
21 Na 0.2500 0.9939 0.7749  4 O 2.25-2.45
22 S 0.7257 0.7500 0.5867  4 O 1.46-1.53
23 O 0.9711 0.2500 0.8410  1 B 1.40
24 Cu 0.2136 0.7500 0.3512  4 O 1.84-1.93

The following is a SCAN calculation of a crystal of NaCu2BP relaxed with PBEsol, from Alexandria.

Results
Total DFT energy (no corrections) = -42.244 eV per cell
Formation enthalpy at 0 K = 2.040 eV/atom

abc: 4.2277 4.4087 4.4087
angles: 90.00 90.00 90.00
Last column: nearest neighbours and their distance in Å.
Sites, in units of the cell vectors:
1 Cu 0.0000 0.5000 0.0000  2 Na 2.20
2 Na 0.0000 0.0000 0.0000  2 B 2.11, 4 Cu 2.20
3 P 0.5000 0.5000 0.5000  8 Cu 3.05, 4 B 3.12
4 B 0.5000 0.0000 0.0000  2 Na 2.11
5 Cu 0.0000 0.0000 0.5000  2 Na 2.20

The following is a SCAN calculation of a crystal of Nb2CuB2 relaxed with PBEsol, from Alexandria.

Results
Total DFT energy (no corrections) = -94.367 eV per cell
Formation enthalpy at 0 K = 0.390 eV/atom

abc: 3.8590 3.8590 5.1835
angles: 111.85 111.85 90.00
Last column: nearest neighbours and their distance in Å.
Sites, in units of the cell vectors:
1 B 0.4086 0.4086 0.8171  1 B 1.61
2 Nb 0.7500 0.2500 0.5000  4 B 2.38
3 Nb 0.2500 0.7500 0.5000  4 B 2.38
4 Cu 0.0000 0.0000 0.0000  8 B 2.85, 8 Nb 2.93
5 B 0.5914 0.5914 0.1829  1 B 1.61

The following is a SCAN calculation of a crystal of NbCuB3 relaxed with PBEsol, from Alexandria.

Results
Total DFT energy (no corrections) = -61.743 eV per cell
Formation enthalpy at 0 K = 1.775 eV/atom

abc: 4.1801 4.1801 4.1801
angles: 90.00 90.00 90.00
Last column: nearest neighbours and their distance in Å.
Sites, in units of the cell vectors:
1 B 0.0000 0.0000 0.5000  2 Nb 2.09
2 B 0.5000 0.0000 0.0000  2 Nb 2.09
3 Nb 0.0000 0.0000 0.0000  6 B 2.09
4 Cu 0.5000 0.5000 0.5000  12 B 2.96
5 B 0.0000 0.5000 0.0000  2 Nb 2.09

The following is a SCAN calculation of a crystal of NbCuB2 relaxed with PBEsol, from Alexandria.

Results
Total DFT energy (no corrections) = -123.327 eV per cell
Formation enthalpy at 0 K = 0.381 eV/atom

abc: 3.6525 3.6525 7.2208
angles: 104.65 104.65 90.00
Last column: nearest neighbours and their distance in Å.
Sites, in units of the cell vectors:
1 Cu 0.7500 0.2500 0.5000  4 B 1.92
2 Nb 0.2500 0.7500 0.5000  4 Cu 2.58, 8 B 2.65
3 Cu 0.5000 0.5000 0.0000  4 B 1.92
4 Nb 0.0000 0.0000 0.0000  4 Cu 2.58, 8 B 2.65
5 B 0.6250 0.3750 0.2500  2 B 1.83, 2 Cu 1.92
6 B 0.6250 0.8750 0.2500  2 B 1.83, 2 Cu 1.92
7 B 0.6250 0.3750 0.7500  2 B 1.83, 2 Cu 1.92
8 B 0.1250 0.3750 0.7500  2 B 1.83, 2 Cu 1.92

The following is a SCAN calculation of a crystal of NbZnCuB2 relaxed with PBEsol, from Alexandria.

Results
Total DFT energy (no corrections) = -69.967 eV per cell
Formation enthalpy at 0 K = 1.347 eV/atom

abc: 3.8834 3.8834 4.1786
angles: 90.00 90.00 90.00
Last column: nearest neighbours and their distance in Å.
Sites, in units of the cell vectors:
1 B 0.0000 0.5000 0.0000  2 Zn 1.94
2 Zn 0.0000 0.0000 0.0000  4 B 1.94, 2 Cu 2.09
3 Nb 0.5000 0.5000 0.5000  4 Cu 2.75, 8 B 2.85
4 B 0.5000 0.0000 0.0000  2 Zn 1.94
5 Cu 0.0000 0.0000 0.5000  2 Zn 2.09

The following is a SCAN calculation of a crystal of CuNi2BSe relaxed with PBEsol, from Alexandria.

Results
Total DFT energy (no corrections) = -74.038 eV per cell
Formation energy (no corrections) = 19.6 kJ/mol of atoms

abc: 3.8552 3.8552 3.9626
angles: 90.00 90.00 90.00
Last column: nearest neighbours and their distance in Å.
Sites, in units of the cell vectors:
1 Ni 0.0000 0.5000 0.0000  2 B 1.93
2 Cu 0.0000 0.0000 0.5000  2 B 1.98
3 B 0.0000 0.0000 0.0000  4 Ni 1.93, 2 Cu 1.98
4 Ni 0.5000 0.0000 0.0000  2 B 1.93
5 Se 0.5000 0.5000 0.5000  4 Cu 2.73, 8 Ni 2.76

The following is a SCAN calculation of a crystal of CuB2O4 relaxed with PBEsol, from Alexandria.

Results
Total DFT energy (no corrections) = -420.004 eV per cell
Formation energy (no corrections) = -207.0 kJ/mol of atoms

abc: 5.6191 8.5937 8.5937
angles: 83.86 70.92 70.92
Last column: nearest neighbours and their distance in Å.
Sites, in units of the cell vectors:
1 O 0.3750 0.5030 0.9970  2 B 1.47
2 O 0.1390 0.3859 0.2384  2 B 1.47-1.48
3 O 0.1862 0.4118 0.7283  2 B 1.48
4 B 0.9051 0.4626 0.8323  4 O 1.45-1.48
5 B 0.6323 0.1677 0.4626  4 O 1.45-1.48
6 B 0.3757 0.7493 0.2493  4 O 1.48
7 B 0.5499 0.3323 0.9626  4 O 1.45-1.48
8 O 0.6226 0.2384 0.6141  2 B 1.47-1.48
9 O 0.9867 0.7384 0.8859  2 B 1.47-1.48
10 B 0.3743 0.2507 0.7507  4 O 1.48
11 O 0.8750 0.1668 0.3332  2 B 1.45
12 B 0.3750 0.2493 0.2507  4 O 1.48
13 Cu 0.7930 0.8320 0.3320  4 O 1.90-1.97
14 B 0.8750 0.7507 0.7493  4 O 1.48
15 O 0.6110 0.2616 0.1141  2 B 1.47-1.48
16 B 0.2625 0.8323 0.5374  4 O 1.45-1.48
17 O 0.4751 0.7616 0.3859  2 B 1.47-1.48
18 Cu 0.8750 0.3320 0.1680  4 O 1.90-1.97
19 Cu 0.9570 0.1680 0.6680  4 O 1.90-1.97
20 Cu 0.5000 0.0000 0.0000  4 O 1.99
21 O 0.1274 0.8859 0.2616  2 B 1.47-1.48
22 B 0.1177 0.0374 0.3323  4 O 1.45-1.48
23 O 0.0854 0.7283 0.5882  2 B 1.48
24 B 0.2001 0.5374 0.1677  4 O 1.45-1.48
25 B 0.4875 0.9626 0.6677  4 O 1.45-1.48
26 O 0.5638 0.7717 0.0882  2 B 1.48
27 Cu 0.3750 0.6680 0.8320  4 O 1.90-1.97
28 O 0.3264 0.5882 0.2717  2 B 1.48
29 O 0.4019 0.2717 0.4118  2 B 1.48
30 O 0.8750 0.4970 0.0030  2 B 1.47
31 O 0.3750 0.8332 0.6668  2 B 1.45
32 O 0.9582 0.6668 0.1668  2 B 1.45
33 O 0.6646 0.9118 0.7717  2 B 1.48
34 O 0.3481 0.0882 0.2283  2 B 1.48
35 O 0.7918 0.3332 0.8332  2 B 1.45
36 O 0.2749 0.1141 0.7384  2 B 1.47-1.48
37 O 0.7633 0.6141 0.7616  2 B 1.47-1.48
38 Cu 0.2500 0.5000 0.5000  4 O 1.99
39 O 0.6280 0.9970 0.4970  2 B 1.47
40 O 0.4236 0.2283 0.9118  2 B 1.48
41 B 0.8449 0.6677 0.0374  4 O 1.45-1.48
42 O 0.1220 0.0030 0.5030  2 B 1.47

The following is a SCAN calculation of a crystal of CuB2O relaxed with PBEsol, from Alexandria.

Results
Total DFT energy (no corrections) = -70.317 eV per cell
Formation energy (no corrections) = 27.3 kJ/mol of atoms

abc: 4.4266 4.7036 4.4266
angles: 61.93 90.00 118.07
Last column: nearest neighbours and their distance in Å.
Sites, in units of the cell vectors:
1 Cu 0.7500 0.5000 0.7500  4 B 1.99
2 B 0.8750 0.2500 0.5593  2 O 1.63
3 B 0.5593 0.7500 0.3750  2 O 1.63
4 B 0.3750 0.2500 0.1907  2 O 1.63
5 Cu 0.0000 0.0000 0.0000  4 B 1.99
6 O 0.2500 0.5000 0.2500  4 B 1.63
7 B 0.1907 0.7500 0.8750  2 O 1.63
8 O 0.5000 0.0000 0.5000  4 B 1.63